[1]
The following is a DFT calculation (meta-GGA SCAN) of a crystal of InSbO2 relaxed with PBEsol. Values from VASP.

Results
* uncorrected formation energy: -0.806 eV/atom
* ρ: 6.36 g/cm3
* final energy: -1.5864 Ry per atom

The structure in Quantum ESPRESSO input format:
```
&SYSTEM
  ibrav = 0, nat = 4, ntyp = 3
/
ATOMIC_SPECIES
In 114.82 In.upf
O 16.00 O.upf
Sb 121.76 Sb.upf
CELL_PARAMETERS angstrom
-2.199 -1.493 2.122
0.962 -2.710 1.815
1.714 2.816 6.483
ATOMIC_POSITIONS crystal
In 0.000 0.000 0.000
O 0.110 0.110 0.671
O 0.890 0.890 0.329
Sb 0.500 0.500 0.500
```



[2]
The following is a DFT calculation (meta-GGA SCAN) of a crystal of CsReSb2I relaxed with PBEsol. Values from VASP.

Results
* uncorrected formation energy: 2.326 eV/atom
* ρ: 4.62 g/cm3
* final energy: -3.0655 Ry per atom

The structure in Quantum ESPRESSO input format:
```
&SYSTEM
  ibrav = 0, nat = 5, ntyp = 4
/
ATOMIC_SPECIES
Cs 132.91 Cs.upf
Sb 121.76 Sb.upf
I 126.90 I.upf
Re 186.21 Re.upf
CELL_PARAMETERS angstrom
-4.075 2.201 4.065
-4.612 -1.567 -3.775
-0.333 -5.860 2.839
ATOMIC_POSITIONS crystal
Cs 0.000 0.000 0.000
Sb 0.000 0.500 0.000
Sb 0.500 0.000 0.000
I 0.000 0.000 0.500
Re 0.500 0.500 0.500
```



[3]
The following is a DFT calculation (meta-GGA SCAN) of a crystal of ScAg3 relaxed with PBEsol. Values from VASP.

Results
* ρ: 8.69 g/cm3
* final energy: -2.0051 Ry per atom
* calculated formation energy: -0.1964 eV/atom

The structure in Quantum ESPRESSO input format:
```
&SYSTEM
  ibrav = 0, nat = 4, ntyp = 2
/
ATOMIC_SPECIES
Sc 44.96 Sc.upf
Ag 107.87 Ag.upf
CELL_PARAMETERS angstrom
-1.085 0.396 -4.489
-4.363 -0.699 -1.401
-2.567 3.574 -1.457
ATOMIC_POSITIONS crystal
Sc 0.500 0.500 0.500
Ag 0.000 0.000 0.000
Ag 0.750 0.750 0.750
Ag 0.250 0.250 0.250
```



[4]
The following is a DFT calculation (meta-GGA SCAN) of a crystal of ReAu relaxed with PBEsol. Values from VASP.

Results
* ρ: 20.50 g/cm3
* final energy: -5.1140 Ry per atom
* calculated formation energy: 0.5472 eV/atom

The structure in Quantum ESPRESSO input format:
```
&SYSTEM
  ibrav = 0, nat = 2, ntyp = 2
/
ATOMIC_SPECIES
Re 186.21 Re.upf
Au 196.97 Au.upf
CELL_PARAMETERS angstrom
-1.627 1.509 -1.670
-1.026 -1.056 2.355
1.244 3.858 2.272
ATOMIC_POSITIONS crystal
Re 0.667 0.333 0.500
Au 0.000 0.000 0.000
```



[5]
The following is a DFT calculation (meta-GGA SCAN) of a crystal of La2IrAu relaxed with PBEsol. Values from VASP.

Results
* ρ: 10.37 g/cm3
* final energy: -4.2325 Ry per atom
* calculated formation energy: -0.9700 eV/atom

The structure in Quantum ESPRESSO input format:
```
&SYSTEM
  ibrav = 0, nat = 4, ntyp = 3
/
ATOMIC_SPECIES
Ir 192.22 Ir.upf
La 138.91 La.upf
Au 196.97 Au.upf
CELL_PARAMETERS angstrom
-3.672 1.859 0.738
-3.508 -1.575 -1.643
-3.275 -3.919 5.427
ATOMIC_POSITIONS crystal
Ir 0.000 0.000 0.000
La 0.260 0.260 0.220
La 0.740 0.740 0.780
Au 0.500 0.500 0.500
```



[6]
The following is a DFT calculation (meta-GGA SCAN) of a crystal of YWN2O relaxed with PBEsol. Values from VASP.

Results
* uncorrected formation energy: -1.516 eV/atom
* ρ: 8.72 g/cm3
* final energy: -1.9098 Ry per atom

The structure in Quantum ESPRESSO input format:
```
&SYSTEM
  ibrav = 0, nat = 5, ntyp = 4
/
ATOMIC_SPECIES
O 16.00 O.upf
W 183.84 W.upf
Y 88.91 Y.upf
N 14.01 N.upf
CELL_PARAMETERS angstrom
3.832 0.000 0.000
0.000 3.967 0.000
0.000 0.000 3.967
ATOMIC_POSITIONS crystal
O 0.500 0.000 0.000
W 0.000 0.000 0.000
Y 0.500 0.500 0.500
N 0.000 0.000 0.500
N 0.000 0.500 0.000
```



[7]
The following is a DFT calculation (meta-GGA SCAN) of a crystal of MgSc relaxed with PBEsol. Values from VASP.

Results
* ρ: 2.47 g/cm3
* final energy: -0.7046 Ry per atom
* calculated formation energy: 0.0194 eV/atom

The structure in Quantum ESPRESSO input format:
```
&SYSTEM
  ibrav = 0, nat = 4, ntyp = 2
/
ATOMIC_SPECIES
Mg 24.30 Mg.upf
Sc 44.96 Sc.upf
CELL_PARAMETERS angstrom
3.238 0.000 0.000
-1.619 2.804 0.000
0.000 0.000 10.268
ATOMIC_POSITIONS crystal
Mg 0.000 0.000 0.500
Mg 0.000 0.000 0.000
Sc 0.667 0.333 0.750
Sc 0.333 0.667 0.250
```



[8]
The following is a DFT calculation (meta-GGA SCAN) of a crystal of TeMo3Se7I6 relaxed with PBEsol. Values from VASP.

Results
* uncorrected formation energy: -0.393 eV/atom
* ρ: 5.21 g/cm3
* final energy: -2.2032 Ry per atom

The structure in Quantum ESPRESSO input format:
```
&SYSTEM
  ibrav = 0, nat = 68, ntyp = 4
/
ATOMIC_SPECIES
I 126.90 I.upf
Se 78.96 Se.upf
Te 127.60 Te.upf
Mo 95.94 Mo.upf
CELL_PARAMETERS angstrom
10.696 0.000 0.048
0.000 13.064 0.000
-3.763 0.000 15.761
ATOMIC_POSITIONS crystal
I 0.310 0.474 0.364
I 0.374 0.074 0.952
I 0.344 0.690 0.844
I 0.611 0.604 0.051
I 0.126 0.574 0.548
I 0.874 0.426 0.452
I 0.494 0.218 0.457
I 0.889 0.104 0.449
I 0.690 0.526 0.636
I 0.780 0.987 0.646
I 0.506 0.782 0.543
I 0.720 0.487 0.854
I 0.006 0.718 0.043
I 0.389 0.396 0.949
I 0.844 0.810 0.344
I 0.810 0.026 0.864
I 0.656 0.310 0.156
I 0.220 0.013 0.354
I 0.626 0.926 0.048
I 0.111 0.896 0.551
I 0.994 0.282 0.957
I 0.190 0.974 0.136
I 0.156 0.190 0.656
I 0.280 0.513 0.146
Se 0.282 0.749 0.386
Se 0.031 0.529 0.751
Se 0.531 0.971 0.251
Se 0.076 0.848 0.898
Se 0.403 0.419 0.732
Se 0.965 0.406 0.112
Se 0.465 0.094 0.612
Se 0.969 0.471 0.249
Se 0.576 0.652 0.398
Se 0.607 0.240 0.845
Se 0.535 0.906 0.388
Se 0.035 0.594 0.888
Se 0.107 0.260 0.345
Se 0.903 0.081 0.232
Se 0.424 0.348 0.602
Se 0.597 0.581 0.268
Se 0.393 0.760 0.155
Se 0.354 0.233 0.251
Se 0.097 0.919 0.768
Se 0.469 0.029 0.749
Se 0.854 0.267 0.751
Se 0.718 0.251 0.614
Se 0.782 0.751 0.886
Se 0.218 0.249 0.114
Se 0.146 0.733 0.249
Se 0.924 0.152 0.102
Se 0.646 0.767 0.749
Se 0.893 0.740 0.655
Te 0.278 0.233 0.840
Te 0.222 0.733 0.660
Te 0.722 0.767 0.160
Te 0.778 0.267 0.340
Mo 0.662 0.139 0.728
Mo 0.162 0.361 0.228
Mo 0.424 0.222 0.721
Mo 0.873 0.849 0.778
Mo 0.924 0.278 0.221
Mo 0.838 0.639 0.772
Mo 0.338 0.861 0.272
Mo 0.127 0.151 0.222
Mo 0.576 0.778 0.279
Mo 0.627 0.349 0.722
Mo 0.076 0.722 0.779
Mo 0.373 0.651 0.278
```



[9]
The following is a DFT calculation (meta-GGA SCAN) of a crystal of Si2TcMo relaxed with PBEsol. Values from VASP.

Results
* uncorrected formation energy: -0.090 eV/atom
* ρ: 7.54 g/cm3
* final energy: -1.6599 Ry per atom

The structure in Quantum ESPRESSO input format:
```
&SYSTEM
  ibrav = 0, nat = 4, ntyp = 3
/
ATOMIC_SPECIES
Si 28.09 Si.upf
Tc 98.00 Tc.upf
Mo 95.94 Mo.upf
CELL_PARAMETERS angstrom
2.836 0.000 0.000
1.418 2.456 0.000
1.418 0.819 7.903
ATOMIC_POSITIONS crystal
Si 0.247 0.247 0.259
Si 0.753 0.753 0.741
Tc 0.500 0.500 0.500
Mo 0.000 0.000 0.000
```



[10]
The following is a DFT calculation (meta-GGA SCAN) of a crystal of TlSeSN2 relaxed with PBEsol. Values from VASP.

Results
* uncorrected formation energy: 1.919 eV/atom
* ρ: 5.78 g/cm3
* final energy: -1.6324 Ry per atom

The structure in Quantum ESPRESSO input format:
```
&SYSTEM
  ibrav = 0, nat = 5, ntyp = 4
/
ATOMIC_SPECIES
N 14.01 N.upf
Tl 204.38 Tl.upf
Se 78.96 Se.upf
S 32.06 S.upf
CELL_PARAMETERS angstrom
-1.047 1.722 -3.662
-2.404 -3.308 -0.869
-4.401 2.552 2.458
ATOMIC_POSITIONS crystal
N 0.500 0.000 0.000
N 0.000 0.500 0.000
Tl 0.000 0.000 0.000
Se 0.500 0.500 0.500
S 0.000 0.000 0.500
```